Below is a geometry-optimized Li4CdTc structure, with properties calculated at the PBE-GGA level.

The value obtained for the total energy is -2.83 eV per atom. Its formation energy is 0.328 eV per atom.

a = 7.149 Å, b = 7.149 Å, c = 7.149 Å
α = 90.00°, β = 90.00°, γ = 90.00°
Space group F-43m (No. 216)
One atom of each set of equivalent atoms:
Li (0.124, 0.124, 0.124)
Cd (0.000, 0.000, 0.500)
Tc (0.250, 0.250, 0.750)

=====

Below is a geometry-optimized LiCdTc structure, with properties calculated at the PBE-GGA level.

The value obtained for the total energy is -4.12 eV per atom. The calculation puts the offset from the most stable computed form at 9 meV per atom. Its formation energy is 0.277 eV per atom.

a = 3.096 Å, b = 4.444 Å, c = 14.307 Å
α = 90.00°, β = 90.00°, γ = 90.00°
Space group Fmm2 (No. 42)
One atom of each set of equivalent atoms:
Li (0.000, 0.000, 0.000)
Cd (0.000, 0.000, 0.673)
Tc (0.000, 0.000, 0.346)

=====

Below is a geometry-optimized LiCdTc structure, with properties calculated at the PBE-GGA level.

The value obtained for the total energy is -3.99 eV per atom. The calculation puts the offset from the most stable computed form at 137 meV per atom. Its formation energy is 0.405 eV per atom.

a = 2.621 Å, b = 4.287 Å, c = 8.787 Å
α = 90.00°, β = 90.00°, γ = 90.00°
Space group Imm2 (No. 44)
One atom of each set of equivalent atoms:
Li (0.000, 0.000, 0.000)
Cd (0.000, 0.000, 0.664)
Tc (0.000, 0.000, 0.335)

=====

Below is a geometry-optimized LiCd2Tc structure, with properties calculated at the PBE-GGA level.

The value obtained for the total energy is -3.35 eV per atom. The calculation puts the offset from the most stable computed form at 53 meV per atom. Its formation energy is 0.182 eV per atom.

a = 2.8942 Å, b = 2.8942 Å, c = 29.0586 Å
α = 90.00°, β = 90.00°, γ = 120.00°
Space group R-3m (No. 166, hexagonal axes)
One atom of each set of equivalent atoms:
Li (0.0000, 0.0000, 0.0000)
Cd (0.0000, 0.0000, 0.2501)
Tc (0.0000, 0.0000, 0.5000)

=====

Below is a geometry-optimized Li2CdTc structure, with properties calculated at the PBE-GGA level.

The value obtained for the total energy is -3.52 eV per atom. Its formation energy is 0.254 eV per atom.

a = 9.732 Å, b = 2.625 Å, c = 5.122 Å
α = 90.00°, β = 97.59°, γ = 90.00°
Space group Cm (No. 8)
One atom of each set of equivalent atoms:
Li (0.000, 0.000, 0.000)
Li (0.245, 0.000, 0.755)
Cd (0.245, 0.500, 0.274)
Tc (0.494, 0.000, 0.500)

=====

Below is a geometry-optimized Li2CdTc structure, with properties calculated at the PBE-GGA level.

The value obtained for the total energy is -3.42 eV per atom. Its formation energy is 0.358 eV per atom.

a = 3.963 Å, b = 3.963 Å, c = 3.975 Å
α = 90.00°, β = 90.00°, γ = 90.00°
Space group P4/mmm (No. 123)
One atom of each set of equivalent atoms:
Li (0.000, 0.500, 0.000)
Cd (0.000, 0.000, 0.500)
Tc (0.500, 0.500, 0.500)

=====

Below is a geometry-optimized Li2CdTc structure, with properties calculated at the PBE-GGA level.

The value obtained for the total energy is -3.57 eV per atom. Its formation energy is 0.206 eV per atom.

a = 9.526 Å, b = 2.623 Å, c = 5.202 Å
α = 90.00°, β = 96.86°, γ = 90.00°
Space group C2/m (No. 12)
One atom of each set of equivalent atoms:
Li (0.247, 0.000, 0.221)
Cd (0.000, 0.000, 0.500)
Tc (0.000, 0.500, 0.000)

=====

Below is a geometry-optimized LiCd2Tc structure, with properties calculated at the PBE-GGA level.

The value obtained for the total energy is -3.12 eV per atom. The calculation puts the offset from the most stable computed form at 275 meV per atom. Its formation energy is 0.404 eV per atom.

a = 6.557 Å, b = 6.557 Å, c = 6.557 Å
α = 90.00°, β = 90.00°, γ = 90.00°
Space group F-43m (No. 216)
One atom of each set of equivalent atoms:
Li (0.000, 0.000, 0.000)
Cd (0.000, 0.000, 0.500)
Cd (0.250, 0.250, 0.750)
Tc (0.250, 0.250, 0.250)